Record 1
Ba2TaCo, optimized geometry, DFT PBE-GGA; density of states at the Fermi level = 6.84 states/eV/f.u.; electronic total energy = -4.4134 eV per atom; ΔE to the lowest computed polymorph = 3.625 eV per formula unit
1.0
6.880 0.000 0.000
0.000 9.773 0.000
0.000 0.000 3.363
Ba Ta Co
4 2 2
direct
0.250 0.250 0.000
0.250 0.750 0.000
0.750 0.250 0.000
0.750 0.750 0.000
0.000 0.000 0.500
0.500 0.500 0.500
0.000 0.500 0.500
0.500 0.000 0.500



Record 2
Ba2TaCo, optimized geometry, DFT PBE-GGA; density of states at the Fermi level = 5.37 states/eV/f.u.; electronic total energy = -5.3197 eV per atom; ΔE to the lowest computed polymorph = 0.000 eV per formula unit
1.0
4.153 0.000 0.000
-2.077 3.597 0.000
0.000 0.000 27.996
Ba Ta Co
6 3 3
direct
0.000 0.000 0.000
0.000 0.000 0.181
0.333 0.667 0.667
0.333 0.667 0.847
0.667 0.333 0.333
0.667 0.333 0.514
0.000 0.000 0.756
0.333 0.667 0.422
0.667 0.333 0.089
0.000 0.000 0.431
0.333 0.667 0.097
0.667 0.333 0.764



Record 3
BaTa2Co, optimized geometry, DFT PBE-GGA; density of states at the Fermi level = 5.11 states/eV/f.u.; electronic total energy = -6.9602 eV per atom; ΔE to the lowest computed polymorph = 3.127 eV per formula unit
1.0
3.966 0.000 0.000
0.000 3.966 0.000
0.000 0.000 5.376
Ba Ta Co
1 2 1
direct
0.000 0.000 0.000
0.000 0.500 0.500
0.500 0.000 0.500
0.500 0.500 0.000



- electronic total energy of number 1 (Ba2TaCo)?
  -4.4134 eV per atom



- Number 1 is which compound?
  Ba2TaCo